[1]
DFT (PBE) results for an optimized crystal structure of BaAl2Zn.

abc: 6.2391 10.3581 3.2056
angles: 90.00 90.00 90.00
With the nearest neighbours (Å) after each atom.
Space group Cmmm (No. 65)
Symmetry-distinct sites (fractional):
Ba1 0.0000 0.0000 0.0000 [2 per cell]  2 Zn 3.12, 2 Ba 3.21, 8 Al 3.42
Al1 0.2500 0.2500 0.5000 [4 per cell]  4 Al 3.12-3.21, 4 Ba 3.42, 4 Zn 3.42
Zn1 0.0000 0.5000 0.0000 [2 per cell]  2 Ba 3.12, 2 Zn 3.21, 8 Al 3.42

Results
- magnetization (μB per formula unit) = 0.00
- energy of formation (eV per atom) = 0.326
- total DFT energy (no corrections) (eV per atom) = -2.344



[2]
DFT (PBE) results for an optimized crystal structure of BaAlZn3.

abc: 6.7424 6.7424 5.8380
angles: 90.00 90.00 120.00
With the nearest neighbours (Å) after each atom.
Space group P6_3/mmc (No. 194)
Symmetry-distinct sites (fractional):
Ba1 0.3333 0.6667 0.2500 [2 per cell]  12 Zn 3.32-3.39
Al1 0.0000 0.0000 0.0000 [2 per cell]  6 Zn 2.72, 2 Al 2.92
Zn1 0.1970 0.3940 0.7500 [6 per cell]  2 Al 2.72, 2 Zn 2.76

Results
- magnetization (μB per formula unit) = 0.00
- energy of formation (eV per atom) = -0.099
- total DFT energy (no corrections) (eV per atom) = -1.997



[3]
DFT (PBE) results for an optimized crystal structure of BaAl2Zn2.

abc: 8.4303 8.4303 3.0283
angles: 90.00 90.00 90.00
With the nearest neighbours (Å) after each atom.
Space group P4/mbm (No. 127)
Symmetry-distinct sites (fractional):
Ba1 0.0000 0.0000 0.0000 [2 per cell]  2 Ba 3.03, 4 Al 3.34
Al1 0.1237 0.3763 0.0000 [4 per cell]  6 Zn 2.83-3.01, 3 Al 2.95-3.03
Zn1 0.1581 0.6581 0.5000 [4 per cell]  6 Al 2.83-3.01, 2 Zn 3.03

Results
- magnetization (μB per formula unit) = 0.00
- energy of formation (eV per atom) = 0.043
- total DFT energy (no corrections) (eV per atom) = -2.348



[4]
DFT (PBE) results for an optimized crystal structure of BaAl2Zn.

abc: 5.2020 5.2020 17.7325
angles: 90.00 90.00 90.00
With the nearest neighbours (Å) after each atom.
Space group I4_1/amd (No. 141, origin choice 2)
Symmetry-distinct sites (fractional):
Ba1 0.0000 0.2500 0.3750 [4 per cell]  8 Al 3.66, 4 Zn 3.68
Al1 0.0000 0.0000 0.0000 [8 per cell]  2 Zn 2.57, 2 Al 2.60
Zn1 0.0000 0.2500 0.8750 [4 per cell]  4 Al 2.57

Results
- magnetization (μB per formula unit) = 0.00
- energy of formation (eV per atom) = -0.045
- total DFT energy (no corrections) (eV per atom) = -2.716



[5]
DFT (PBE) results for an optimized crystal structure of BaAlZn3.

abc: 7.0664 14.6051 4.7991
angles: 90.00 90.00 90.00
With the nearest neighbours (Å) after each atom.
Space group Cmcm (No. 63)
Symmetry-distinct sites (fractional):
Ba1 0.0000 0.1006 0.2500 [4 per cell]  6 Zn 3.32-3.35, 1 Al 3.48
Al1 0.0000 0.3392 0.2500 [4 per cell]  4 Zn 2.58-2.64
Zn1 0.0000 0.5000 0.0000 [4 per cell]  2 Zn 2.40, 2 Al 2.64
Zn2 0.1707 0.2374 0.7500 [8 per cell]  3 Zn 2.41-2.67, 1 Al 2.58

Results
- magnetization (μB per formula unit) = 0.00
- energy of formation (eV per atom) = 0.012
- total DFT energy (no corrections) (eV per atom) = -1.886



[6]
DFT (PBE) results for an optimized crystal structure of BaAlZn2.

abc: 4.9744 4.9744 4.2253
angles: 90.00 90.00 90.00
With the nearest neighbours (Å) after each atom.
Space group P4/mmm (No. 123)
Symmetry-distinct sites (fractional):
Ba1 0.0000 0.0000 0.0000 [1 per cell]  8 Zn 3.26, 4 Al 3.52
Al1 0.5000 0.5000 0.0000 [1 per cell]  8 Zn 3.26, 4 Ba 3.52
Zn1 0.0000 0.5000 0.5000 [2 per cell]  4 Ba 3.26, 4 Al 3.26, 4 Zn 3.52

Results
- magnetization (μB per formula unit) = 0.00
- energy of formation (eV per atom) = 0.150
- total DFT energy (no corrections) (eV per atom) = -1.904



[7]
DFT (PBE) results for an optimized crystal structure of Ba4Al3Zn.

abc: 4.7168 5.4072 11.6201
angles: 90.00 90.00 90.00
With the nearest neighbours (Å) after each atom.
Space group Pmm2 (No. 25)
Symmetry-distinct sites (fractional):
Ba1 0.0000 0.0000 0.0000 [1 per cell]  1 Zn 3.56, 6 Al 3.57-3.77
Ba2 0.0000 0.5000 0.4929 [1 per cell]  2 Zn 3.46, 5 Al 3.56-3.78
Ba3 0.5000 0.0000 0.7019 [1 per cell]  7 Al 3.56-3.76
Ba4 0.5000 0.5000 0.2031 [1 per cell]  3 Al 3.48-3.51, 4 Zn 3.78
Al1 0.0000 0.5000 0.7996 [1 per cell]  2 Al 2.64
Al2 0.5000 0.0000 0.3914 [1 per cell]  2 Zn 2.56
Al3 0.5000 0.5000 0.9007 [1 per cell]  2 Al 2.64
Zn1 0.0000 0.0000 0.3066 [1 per cell]  2 Al 2.56

Results
- magnetization (μB per formula unit) = 0.00
- energy of formation (eV per atom) = -0.139
- total DFT energy (no corrections) (eV per atom) = -2.663



[8]
DFT (PBE) results for an optimized crystal structure of Ba3Al9Zn2.

abc: 4.6743 10.4810 13.4867
angles: 90.00 90.00 90.00
With the nearest neighbours (Å) after each atom.
Space group Immm (No. 71)
Symmetry-distinct sites (fractional):
Ba1 0.0000 0.0000 0.0000 [2 per cell]  12 Al 3.45-3.51, 4 Zn 3.83
Ba2 0.0000 0.0000 0.3086 [4 per cell]  12 Al 3.38-3.70, 2 Zn 3.39
Al1 0.0000 0.2772 0.1385 [8 per cell]  4 Al 2.77-2.99, 2 Zn 3.00
Al2 0.0000 0.3611 0.3391 [8 per cell]  1 Zn 2.69, 4 Al 2.77-2.91
Al3 0.0000 0.5000 0.0000 [2 per cell]  4 Al 2.99, 4 Zn 3.21
Zn1 0.0000 0.2101 0.5000 [4 per cell]  6 Al 2.69-3.00

Results
- magnetization (μB per formula unit) = 0.00
- energy of formation (eV per atom) = -0.136
- total DFT energy (no corrections) (eV per atom) = -3.136



[9]
DFT (PBE) results for an optimized crystal structure of BaAlZn2.

abc: 3.5283 3.5283 7.6244
angles: 90.00 90.00 90.00
With the nearest neighbours (Å) after each atom.
Space group P4/mmm (No. 123)
Symmetry-distinct sites (fractional):
Ba1 0.0000 0.0000 0.0000 [1 per cell]  8 Zn 3.49, 4 Ba 3.53, 2 Al 3.81
Al1 0.0000 0.0000 0.5000 [1 per cell]  8 Zn 2.85
Zn1 0.5000 0.5000 0.3193 [2 per cell]  1 Zn 2.76, 4 Al 2.85

Results
- magnetization (μB per formula unit) = 0.00
- energy of formation (eV per atom) = 0.002
- total DFT energy (no corrections) (eV per atom) = -2.051



[10]
DFT (PBE) results for an optimized crystal structure of Ba3AlZn.

abc: 6.2876 6.2876 6.2876
angles: 90.00 90.00 90.00
With the nearest neighbours (Å) after each atom.
Space group Pm-3m (No. 221)
Symmetry-distinct sites (fractional):
Ba1 0.0000 0.0000 0.5000 [3 per cell]  2 Zn 3.14
Al1 0.5000 0.5000 0.5000 [1 per cell]  12 Ba 4.45
Zn1 0.0000 0.0000 0.0000 [1 per cell]  6 Ba 3.14

Results
- magnetization (μB per formula unit) = 2.12
- energy of formation (eV per atom) = 0.264
- total DFT energy (no corrections) (eV per atom) = -1.893



[11]
DFT (PBE) results for an optimized crystal structure of BaAl2Zn.

abc: 7.6178 4.4083 6.7914
angles: 90.00 111.92 90.00
With the nearest neighbours (Å) after each atom.
Space group C2/m (No. 12)
Symmetry-distinct sites (fractional):
Ba1 0.0000 0.0000 0.0000 [2 per cell]  8 Al 3.53-3.85
Al1 0.2036 0.0000 0.6105 [4 per cell]  3 Zn 2.63-2.64, 3 Al 2.90
Zn1 0.0000 0.5000 0.5000 [2 per cell]  6 Al 2.63-2.64

Results
- magnetization (μB per formula unit) = 0.00
- energy of formation (eV per atom) = -0.157
- total DFT energy (no corrections) (eV per atom) = -2.827



[12]
DFT (PBE) results for an optimized crystal structure of BaAl4Zn2.

abc: 4.3190 15.5843 4.3490
angles: 90.00 90.00 90.00
With the nearest neighbours (Å) after each atom.
Space group Cmmm (No. 65)
Symmetry-distinct sites (fractional):
Ba1 0.0000 0.0000 0.0000 [2 per cell]  8 Zn 3.37, 8 Al 3.68-3.70
Al1 0.0000 0.1904 0.5000 [4 per cell]  2 Zn 2.67, 4 Al 2.84-2.85
Al2 0.0000 0.3075 0.0000 [4 per cell]  2 Zn 2.71, 4 Al 2.81-2.84
Zn1 0.0000 0.4108 0.5000 [4 per cell]  4 Al 2.67-2.71, 1 Zn 2.78

Results
- magnetization (μB per formula unit) = 0.00
- energy of formation (eV per atom) = -0.168
- total DFT energy (no corrections) (eV per atom) = -2.945



Which value of total DFT energy (no corrections) does entry 9 give?
-2.051 eV per atom